{
  "formula": "FeCuBr",
  "functional": "PBE-GGA",
  "state": "relaxed",
  "magnetic_moment_mub_per_fu": 0.0,
  "dft_energy_ev_per_atom": -4.135,
  "relative_energy_ev_per_atom": 0.264,
  "raw_formation_energy_kj_per_mol_atoms": 59,
  "cell": [[3.286, 0.000, 0.000], [-1.643, 2.846, 0.000], [0.000, 0.000, 5.973]],
  "species": ["Br", "Cu", "Fe"],
  "frac_coords": [[0.000, 0.000, 0.899], [0.667, 0.333, 0.422], [0.333, 0.667, 0.679]]
}


{
  "formula": "CuNi2Ir",
  "functional": "PBE-GGA",
  "state": "relaxed",
  "magnetic_moment_mub_per_fu": 0.8,
  "dft_energy_ev_per_atom": -5.946,
  "cell": [[2.582, 0.002, 0.000], [-1.206, 2.283, 0.000], [0.000, 0.000, 8.511]],
  "species": ["Cu", "Ir", "Ni", "Ni"],
  "frac_coords": [[0.500, 0.500, 0.250], [0.500, 0.500, 0.750], [0.000, 0.000, 0.006], [0.000, 0.000, 0.494]]
}


{
  "formula": "RbCa2Tl4",
  "functional": "PBE-GGA",
  "state": "relaxed",
  "magnetic_moment_mub_per_fu": 0.0,
  "dft_energy_ev_per_atom": -1.721,
  "cell": [[-4.067, 3.010, 3.367], [-2.100, -5.271, 2.176], [2.542, -0.719, 9.200]],
  "species": ["Tl", "Tl", "Tl", "Tl", "Ca", "Ca", "Rb"],
  "frac_coords": [[0.796, 0.796, 0.407], [0.204, 0.204, 0.593], [0.000, 0.500, 0.000], [0.500, 0.000, 0.000], [0.603, 0.603, 0.794], [0.397, 0.397, 0.206], [0.000, 0.000, 0.000]]
}


{
  "formula": "MgTa2Ni",
  "functional": "PBE-GGA",
  "state": "relaxed",
  "magnetic_moment_mub_per_fu": 0.0,
  "dft_energy_ev_per_atom": -7.486,
  "cell": [[5.069, 0.006, 0.000], [2.013, 4.653, 0.000], [-3.541, -2.329, 2.781]],
  "species": ["Mg", "Ni", "Ta", "Ta"],
  "frac_coords": [[0.500, 0.500, 0.000], [0.750, 0.250, 0.500], [0.000, 0.000, 0.000], [0.250, 0.750, 0.500]]
}


{
  "formula": "BaAlCu2Se4",
  "functional": "PBE-GGA",
  "state": "relaxed",
  "magnetic_moment_mub_per_fu": 0.0,
  "dft_energy_ev_per_atom": -4.291,
  "raw_formation_energy_kj_per_mol_atoms": -79,
  "cell": [[-2.486, 3.176, -5.259], [0.183, -2.708, -5.898], [-6.348, -0.271, -1.339]],
  "species": ["Ba", "Al", "Cu", "Cu", "Se", "Se", "Se", "Se"],
  "frac_coords": [[0.000, 0.000, 0.000], [0.000, 0.500, 0.500], [0.500, 0.657, 0.343], [0.500, 0.343, 0.657], [0.600, 0.521, 0.850], [0.400, 0.150, 0.479], [0.971, 0.479, 0.150], [0.029, 0.850, 0.521]]
}


{
  "formula": "Rb2SrHgF6",
  "functional": "PBE-GGA",
  "state": "relaxed",
  "magnetic_moment_mub_per_fu": 0.0,
  "dft_energy_ev_per_atom": -4.199,
  "relative_energy_ev_per_atom": 0.020,
  "raw_formation_energy_kj_per_mol_atoms": -259,
  "cell": [[6.648, 0.000, 0.000], [0.000, 6.648, 0.000], [3.324, 3.324, 4.704]],
  "species": ["Sr", "Hg", "Rb", "Rb", "F", "F", "F", "F", "F", "F"],
  "frac_coords": [[0.500, 0.500, 0.000], [0.000, 0.000, 0.000], [0.750, 0.250, 0.500], [0.250, 0.750, 0.500], [0.247, 0.247, 0.505], [0.753, 0.753, 0.495], [0.247, 0.247, 0.000], [0.753, 0.753, 0.000], [0.753, 0.247, 0.000], [0.247, 0.753, 0.000]]
}